# 1
First-principles (PBE) data for a relaxed CaPm4Tm crystal, as listed in Alexandria.

Structure (extended XYZ):
```
6
Lattice="0.000 4.769 4.769 4.769 0.000 4.769 4.769 4.769 0.000" Properties=species:S:1:pos:R:3 pbc="T T T"
Ca 0.000 0.000 0.000
Pm 3.594 3.594 3.594
Pm 5.944 5.944 3.594
Pm 5.944 3.594 5.944
Pm 3.594 5.944 5.944
Tm 7.154 7.154 7.154
```

Calculated values
Offset from the most stable computed form ... 172 meV per atom
E_form ... 220.3 meV per atom
Energy ... -4.026 eV/atom

***

# 2
First-principles (PBE) data for a relaxed CaPm7Tm2 crystal, as listed in Alexandria.

Structure (extended XYZ):
```
10
Lattice="9.205 -2.748 0.000 9.205 2.748 0.000 -3.308 0.000 7.075" Properties=species:S:1:pos:R:3 pbc="T T T"
Ca 0.000 0.000 0.000
Pm 0.813 0.000 4.699
Pm 4.555 0.000 4.725
Pm 6.551 0.000 0.472
Pm 7.551 0.000 3.537
Pm 8.552 0.000 6.603
Pm 10.548 0.000 2.350
Pm 14.289 0.000 2.376
Tm 3.245 0.000 1.517
Tm 11.857 0.000 5.558
```

Calculated values
E_form ... 204.8 meV per atom
Energy ... -4.215 eV/atom

***

# 3
First-principles (PBE) data for a relaxed Ca2Pm4Tm crystal, as listed in Alexandria.

Structure (extended XYZ):
```
14
Lattice="3.577 0.000 0.000 0.000 5.895 0.000 0.000 0.000 23.680" Properties=species:S:1:pos:R:3 pbc="T T T"
Ca 0.000 0.000 5.232
Ca 0.000 0.000 18.448
Ca 1.789 2.947 6.608
Ca 1.789 2.947 17.072
Pm 0.000 2.947 3.049
Pm 0.000 2.947 9.955
Pm 0.000 2.947 13.725
Pm 0.000 2.947 20.632
Pm 1.789 0.000 1.885
Pm 1.789 0.000 8.792
Pm 1.789 0.000 14.889
Pm 1.789 0.000 21.795
Tm 0.000 0.000 11.840
Tm 1.789 2.947 0.000
```

Calculated values
Offset from the most stable computed form ... 0 meV per atom
E_form ... 130.0 meV per atom
Energy ... -3.795 eV/atom

***

# 4
First-principles (PBE) data for a relaxed CaPm2Tm4 crystal, as listed in Alexandria.

Structure (extended XYZ):
```
14
Lattice="8.504 0.000 0.000 0.000 8.504 0.000 0.000 0.000 6.572" Properties=species:S:1:pos:R:3 pbc="T T T"
Ca 0.000 0.000 0.000
Ca 4.252 4.252 3.286
Pm 0.000 4.252 1.643
Pm 0.000 4.252 4.929
Pm 4.252 0.000 1.643
Pm 4.252 0.000 4.929
Tm 1.671 1.671 3.286
Tm 1.671 6.832 3.286
Tm 2.581 2.581 0.000
Tm 2.581 5.923 0.000
Tm 5.923 2.581 0.000
Tm 5.923 5.923 0.000
Tm 6.832 1.671 3.286
Tm 6.832 6.832 3.286
```

Calculated values
E_form ... 244.6 meV per atom
Energy ... -3.954 eV/atom